(1)
The following is a DFT calculation (GGA-PBE) of crystalline YAlCdAg at its relaxed geometry.

Cell lengths 4.923, 4.923, 4.923 Å; angles 60.00, 60.00, 60.00 degrees
Fractional positions:
Al1 0.500 0.500 0.500
Cd1 0.250 0.250 0.250
Ag1 0.000 0.000 0.000
Y1 0.750 0.750 0.750

Calculated values
- SG = F-43m (216)
- size of the total moment (Bohr magnetons per cell) = 0.00
- calculated formation energy (eV per atom) = -0.26

(2)
The following is a DFT calculation (GGA-PBE) of crystalline CsTe2Ru at its relaxed geometry.

Cell lengths 5.371, 5.371, 5.371 Å; angles 60.00, 60.00, 60.00 degrees
Fractional positions:
Te1 0.250 0.250 0.250
Te2 0.750 0.750 0.750
Ru1 0.000 0.000 0.000
Cs1 0.500 0.500 0.500

Calculated values
- formation energy (no corrections) (eV/atom) = 0.625
- E above lowest polymorph (meV/atom) = 929
- SG = Fm-3m (225)
- size of the total moment (Bohr magnetons per cell) = 0.00

(3)
The following is a DFT calculation (GGA-PBE) of crystalline MgRu2PbI at its relaxed geometry.

Cell lengths 4.901, 5.301, 4.901 Å; angles 90.00, 90.00, 90.00 degrees
Fractional positions:
I1 0.000 0.500 0.000
Ru1 0.500 0.000 0.000
Ru2 0.000 0.000 0.500
Mg1 0.000 0.000 0.000
Pb1 0.500 0.500 0.500

Calculated values
- formation energy (no corrections) (eV/atom) = 1.391
- SG = P4/mmm (123)
- size of the total moment (Bohr magnetons per cell) = 3.33

(4)
The following is a DFT calculation (GGA-PBE) of crystalline ZnTc2O at its relaxed geometry.

Cell lengths 4.996, 4.996, 6.375 Å; angles 66.93, 66.93, 90.00 degrees
Fractional positions:
Tc1 0.242 0.625 0.250
Tc2 0.375 0.492 0.750
Tc3 0.875 0.758 0.750
Tc4 0.508 0.125 0.250
O1 0.500 0.500 0.000
O2 0.250 0.750 0.500
Zn1 0.000 0.000 0.000
Zn2 0.750 0.250 0.500

Calculated values
- formation energy (no corrections) (eV/atom) = 0.462
- E above lowest polymorph (meV/atom) = 0
- SG = I-42d (122)
- size of the total moment (Bohr magnetons per cell) = 0.00

(5)
The following is a DFT calculation (GGA-PBE) of crystalline K2BaHgH at its relaxed geometry.

Cell lengths 5.391, 5.391, 5.876 Å; angles 90.00, 90.00, 90.00 degrees
Fractional positions:
Hg1 0.500 0.500 0.500
K1 0.500 0.000 0.000
K2 0.000 0.500 0.000
H1 0.000 0.000 0.000
Ba1 0.000 0.000 0.500

Calculated values
- SG = P4/mmm (123)
- size of the total moment (Bohr magnetons per cell) = 0.00
- total DFT energy (no corrections) (eV/cell) = -8.63

(6)
The following is a DFT calculation (GGA-PBE) of crystalline NiPt6Rh at its relaxed geometry.

Cell lengths 3.915, 3.915, 7.842 Å; angles 90.00, 90.00, 90.00 degrees
Fractional positions:
Pt1 0.000 0.500 0.745
Pt2 0.000 0.500 0.255
Pt3 0.500 0.000 0.255
Pt4 0.500 0.000 0.745
Pt5 0.500 0.500 0.500
Pt6 0.500 0.500 0.000
Rh1 0.000 0.000 0.000
Ni1 0.000 0.000 0.500

Calculated values
- SG = P4/mmm (123)
- size of the total moment (Bohr magnetons per cell) = 2.81
- calculated formation energy (eV per atom) = -0.05

(7)
The following is a DFT calculation (GGA-PBE) of crystalline Rb2CdSnH6 at its relaxed geometry.

Cell lengths 6.080, 6.080, 6.071 Å; angles 60.16, 60.16, 89.87 degrees
Fractional positions:
Cd1 0.500 0.500 0.000
H1 0.254 0.746 0.000
H2 0.255 0.255 0.999
H3 0.746 0.746 0.507
H4 0.254 0.254 0.493
H5 0.746 0.254 0.000
H6 0.745 0.745 0.001
Rb1 0.249 0.751 0.500
Rb2 0.751 0.249 0.500
Sn1 0.000 0.000 0.000

Calculated values
- SG = C2/m (12)
- size of the total moment (Bohr magnetons per cell) = 0.00
- total DFT energy (no corrections) (eV/cell) = -26.56

(8)
The following is a DFT calculation (GGA-PBE) of crystalline TaMnRu2Br at its relaxed geometry.

Cell lengths 4.776, 5.035, 4.776 Å; angles 90.00, 90.00, 90.00 degrees
Fractional positions:
Ru1 0.500 0.000 0.000
Ru2 0.000 0.000 0.500
Ta1 0.000 0.000 0.000
Mn1 0.000 0.500 0.000
Br1 0.500 0.500 0.500

Calculated values
- formation energy (no corrections) (eV/atom) = 1.467
- SG = P4/mmm (123)
- size of the total moment (Bohr magnetons per cell) = 5.74

(9)
The following is a DFT calculation (GGA-PBE) of crystalline AsSe2N at its relaxed geometry.

Cell lengths 4.533, 4.533, 4.533 Å; angles 60.00, 60.00, 60.00 degrees
Fractional positions:
Se1 0.750 0.750 0.750
Se2 0.250 0.250 0.250
N1 0.000 0.000 0.000
As1 0.500 0.500 0.500

Calculated values
- formation energy (no corrections) (eV/atom) = 1.413
- E above lowest polymorph (meV/atom) = 1096
- SG = Fm-3m (225)
- size of the total moment (Bohr magnetons per cell) = 1.07

(10)
The following is a DFT calculation (GGA-PBE) of crystalline Li4NdAg8 at its relaxed geometry.

Cell lengths 5.259, 7.171, 7.171 Å; angles 82.27, 68.49, 68.49 degrees
Fractional positions:
Ag1 0.281 0.219 0.219
Ag2 0.000 0.651 0.349
Ag3 0.000 0.349 0.651
Ag4 0.651 0.349 0.349
Ag5 0.500 0.219 0.781
Ag6 0.349 0.651 0.651
Ag7 0.500 0.781 0.219
Ag8 0.719 0.781 0.781
Li1 0.500 0.000 0.500
Li2 0.000 0.500 0.000
Li3 0.000 0.000 0.500
Li4 0.500 0.500 0.000
Nd1 0.000 0.000 0.000

Calculated values
- SG = I4/mmm (139)
- size of the total moment (Bohr magnetons per cell) = 0.00
- calculated formation energy (eV per atom) = -0.18

(11)
The following is a DFT calculation (GGA-PBE) of crystalline RbSiB at its relaxed geometry.

Cell lengths 7.462, 3.795, 10.367 Å; angles 90.00, 90.00, 90.00 degrees
Fractional positions:
B1 0.162 0.250 0.471
B2 0.662 0.250 0.029
B3 0.338 0.750 0.971
B4 0.838 0.750 0.529
Rb1 0.999 0.750 0.186
Rb2 0.001 0.250 0.814
Rb3 0.501 0.250 0.686
Rb4 0.499 0.750 0.314
Si1 0.383 0.250 0.012
Si2 0.617 0.750 0.988
Si3 0.117 0.750 0.512
Si4 0.883 0.250 0.488

Calculated values
- formation energy (no corrections) (eV/atom) = 0.375
- SG = Pnma (62)
- size of the total moment (Bohr magnetons per cell) = 0.00

(12)
The following is a DFT calculation (GGA-PBE) of crystalline Ce2Pr5Ru4 at its relaxed geometry.

Cell lengths 3.578, 7.266, 12.278 Å; angles 92.10, 98.38, 90.00 degrees
Fractional positions:
Pr1 0.084 0.383 0.169
Pr2 0.133 0.866 0.267
Pr3 0.867 0.134 0.733
Pr4 0.916 0.617 0.831
Pr5 0.500 0.000 0.000
Ru1 0.680 0.566 0.359
Ru2 0.320 0.434 0.641
Ru3 0.029 0.702 0.058
Ru4 0.971 0.298 0.942
Ce1 0.233 0.294 0.466
Ce2 0.767 0.706 0.534

Calculated values
- SG = C2/m (12)
- size of the total moment (Bohr magnetons per cell) = 0.69
- calculated formation energy (eV per atom) = 0.04